The following is a DFT calculation (PBE+U) of an optimized crystal structure of BaCo2Ir2O7.

a b c (Å): 4.0153 4.1218 9.2940
angles (deg): 102.81 102.48 90.00
Closest atoms and distances in Å follow each position.
Element x y z (fractional)
Ba: 0.0000 0.9815 0.0000  4 O 2.68-2.95
Co: 0.2533 0.7677 0.5067  6 O 2.05-2.28
Co: 0.7467 0.2610 0.4933  6 O 2.05-2.28
Ir: 0.3869 0.3931 0.7738  6 O 2.02-2.08
Ir: 0.6131 0.6193 0.2262  6 O 2.02-2.08
O: 0.3707 0.8774 0.7414  1 Co 2.07, 2 Ir 2.08
O: 0.7291 0.7504 0.4581  1 Ir 2.05, 4 Co 2.05-2.11
O: 0.1243 0.6287 0.2486  2 Ir 2.02
O: 0.6293 0.1359 0.2586  1 Co 2.07, 2 Ir 2.08
O: 0.2709 0.2923 0.5419  1 Ir 2.05, 4 Co 2.05-2.11
O: 0.8757 0.3800 0.7514  2 Ir 2.02
O: 0.5000 0.4122 0.0000  2 Ir 2.04

Final energy, eV per atom: -6.414
D(E_F), states/eV/cell: 6.9
SG: Imm2